No. 1
Material: Na2BiHF6
Method: DFT, PBE
State: relaxed

Unit cell a=5.676 b=4.481 c=12.635 alpha=90.00 beta=116.56 gamma=90.00
Space group P2_1/c (No. 14)
Inequivalent atoms, fractional coordinates:
Na 0.202 0.003 0.202 [4 per cell]
Bi 0.500 0.000 0.000 [2 per cell]
H 0.000 0.000 0.500 [2 per cell]
F 0.123 0.211 0.500 [4 per cell]
F 0.177 0.742 0.350 [4 per cell]
F 0.475 0.742 0.650 [4 per cell]

Output
Total magnetization = 0.0 μB/f.u.
VASP energy = -89.22 eV for the cell shown



No. 2
Material: BiH2OsF
Method: DFT, PBE
State: relaxed

Unit cell a=3.913 b=3.913 c=4.499 alpha=90.00 beta=90.00 gamma=90.00
Space group P4/mmm (No. 123)
Inequivalent atoms, fractional coordinates:
Bi 0.000 0.000 0.000 [1 per cell]
H 0.000 0.500 0.500 [2 per cell]
Os 0.500 0.500 0.000 [1 per cell]
F 0.000 0.000 0.500 [1 per cell]

Output
Total magnetization = 0.3 μB/f.u.
VASP energy = -18.36 eV for the cell shown



No. 3
Material: RbBiH2F8
Method: DFT, PBE
State: relaxed

Unit cell a=5.108 b=5.261 c=8.367 alpha=96.20 beta=96.18 gamma=111.36
Space group P-1 (No. 2)
Inequivalent atoms, fractional coordinates:
Rb 0.000 0.000 0.000 [1 per cell]
Bi 0.000 0.000 0.500 [1 per cell]
H 0.317 0.542 0.809 [2 per cell]
F 0.218 0.215 0.336 [2 per cell]
F 0.239 0.766 0.500 [2 per cell]
F 0.271 0.267 0.705 [2 per cell]
F 0.344 0.685 0.901 [2 per cell]

Output
Total magnetization = 0.1 μB/f.u.
VASP energy = -50.28 eV for the cell shown



No. 4
Material: RbBiHF6
Method: DFT, PBE
State: relaxed

Unit cell a=4.551 b=5.754 c=6.320 alpha=91.71 beta=90.80 gamma=109.00
Space group P1 (No. 1)
Inequivalent atoms, fractional coordinates:
Rb 0.000 0.000 0.000 [1 per cell]
Bi 0.632 0.360 0.498 [1 per cell]
H 0.208 0.552 0.240 [1 per cell]
F 0.113 0.311 0.552 [1 per cell]
F 0.410 0.489 0.201 [1 per cell]
F 0.540 0.050 0.283 [1 per cell]
F 0.560 0.166 0.783 [1 per cell]
F 0.731 0.700 0.664 [1 per cell]
F 0.986 0.603 0.269 [1 per cell]

Output
Total magnetization = 0.0 μB/f.u.
VASP energy = -38.88 eV for the cell shown



No. 5
Material: ReBiHF2
Method: DFT, PBE
State: relaxed

Unit cell a=4.364 b=4.364 c=3.644 alpha=90.00 beta=90.00 gamma=90.00
Space group P4/mmm (No. 123)
Inequivalent atoms, fractional coordinates:
Re 0.000 0.000 0.000 [1 per cell]
Bi 0.500 0.500 0.000 [1 per cell]
H 0.000 0.000 0.500 [1 per cell]
F 0.000 0.500 0.500 [2 per cell]

Output
Total magnetization = 3.0 μB/f.u.
VASP energy = -23.16 eV for the cell shown



No. 6
Material: BiH2RhF
Method: DFT, PBE
State: relaxed

Unit cell a=3.971 b=3.971 c=4.208 alpha=90.00 beta=90.00 gamma=90.00
Space group P4/mmm (No. 123)
Inequivalent atoms, fractional coordinates:
Bi 0.000 0.000 0.000 [1 per cell]
H 0.000 0.500 0.500 [2 per cell]
Rh 0.500 0.500 0.000 [1 per cell]
F 0.500 0.500 0.500 [1 per cell]

Output
Total magnetization = 0.9 μB/f.u.
VASP energy = -17.43 eV for the cell shown



No. 7
Material: SrBiH2F8
Method: DFT, PBE
State: relaxed

Unit cell a=4.116 b=4.508 c=8.924 alpha=89.92 beta=89.92 gamma=66.53
Space group P-1 (No. 2)
Inequivalent atoms, fractional coordinates:
Sr 0.000 0.000 0.000 [1 per cell]
Bi 0.000 0.000 0.500 [1 per cell]
H 0.500 0.500 0.271 [2 per cell]
F 0.237 0.725 0.731 [2 per cell]
F 0.237 0.726 0.269 [2 per cell]
F 0.336 0.296 0.500 [2 per cell]
F 0.359 0.325 0.000 [2 per cell]

Output
Total magnetization = 0.7 μB/f.u.
VASP energy = -54.60 eV for the cell shown



Q: Among the records above, which one has the lowest VASP energy?
A: Na2BiHF6



Q: The lowest VASP energy belongs to which entry?
A: Na2BiHF6



Q: Which formula does entry 3 have?
A: RbBiH2F8